Entry 1:
! PBE Nb2RePd, optimized geometry; values from VASP
&SYSTEM
  ibrav = 0, nat = 4, ntyp = 3
/
ATOMIC_SPECIES
Re 186.21 Re.upf
Nb 92.91 Nb.upf
Pd 106.42 Pd.upf
CELL_PARAMETERS angstrom
3.240 0.000 0.000
0.000 3.240 0.000
0.000 0.000 6.395
ATOMIC_POSITIONS angstrom
Re 1.620 1.620 0.000
Nb 0.000 0.000 4.869
Nb 0.000 0.000 1.526
Pd 1.620 1.620 3.197
! energy relative to the elements = -159 meV per atom
! total energy = -9.60 eV/atom
! spin magnetization = 0.000 μB per cell



Entry 2:
! PBE K4Pm3AlS8, optimized geometry; values from VASP
&SYSTEM
  ibrav = 0, nat = 16, ntyp = 4
/
ATOMIC_SPECIES
K 39.10 K.upf
Pm 145.00 Pm.upf
Al 26.98 Al.upf
S 32.06 S.upf
CELL_PARAMETERS angstrom
8.105 0.000 0.000
0.000 8.733 0.430
-4.053 -4.046 5.736
ATOMIC_POSITIONS angstrom
K 4.053 0.000 0.000
K 2.026 -2.023 2.868
K 0.000 0.000 0.000
K -2.026 -2.023 2.868
Pm 4.053 4.366 0.215
Pm 2.026 2.343 3.083
Pm -2.026 2.343 3.083
Al 0.000 4.366 0.215
S -2.198 2.116 5.908
S 0.000 4.311 2.798
S 0.000 0.404 3.147
S 2.198 2.116 5.908
S 1.854 2.571 0.259
S 4.053 4.283 3.020
S 4.053 0.376 3.369
S 6.251 2.571 0.259
! total energy = -5.09 eV/atom
! spin magnetization = 0.000 μB per cell
! uncorrected formation energy = -1623 meV per atom